DFT (PBE) results for an optimized crystal structure of K2YIn.

## Properties
The volume is 39.5 A^3/atom. Its space group is P4/mmm. As for the formation energy: 0.33 eV per atom. For the raw total energy, the calculation gives -2.516 eV/atom.

Unit cell a=3.4880 b=3.4880 c=12.9902 alpha=90.00 beta=90.00 gamma=90.00
Fractional positions:
K: 0.0000 0.0000 0.5244
K: 0.0000 0.0000 0.9756
Y: 0.5000 0.5000 0.2500
In: 0.5000 0.5000 0.7500

DFT (PBE) results for an optimized crystal structure of K2YIn.

## Properties
The volume is 36.7 A^3/atom. Its space group is Pmmm. As for the formation energy: 0.19 eV per atom. For the raw total energy, the calculation gives -2.657 eV/atom.

Unit cell a=4.3052 b=5.2296 c=6.5205 alpha=90.00 beta=90.00 gamma=90.00
Fractional positions:
K: 0.5000 0.5000 0.0000
K: 0.0000 0.0000 0.0000
Y: 0.5000 0.0000 0.5000
In: 0.0000 0.5000 0.5000

DFT (PBE) results for an optimized crystal structure of KYIn2.

## Properties
The volume is 30.2 A^3/atom. As for the energy above the most stable polymorph in this dataset: 145 meV/atom. Its space group is Fm-3m. As for the formation energy: -0.10 eV per atom. For the raw total energy, the calculation gives -3.358 eV/atom.

Unit cell a=5.5484 b=5.5484 c=5.5484 alpha=60.00 beta=60.00 gamma=60.00
Fractional positions:
In: 0.2500 0.2500 0.2500
In: 0.7500 0.7500 0.7500
K: 0.0000 0.0000 0.0000
Y: 0.5000 0.5000 0.5000

DFT (PBE) results for an optimized crystal structure of KY2In2.

## Properties
The volume is 31.1 A^3/atom. As for the energy above the most stable polymorph in this dataset: 64 meV/atom. Its space group is P4/mbm. As for the formation energy: -0.17 eV per atom. For the raw total energy, the calculation gives -4.069 eV/atom.

Unit cell a=9.1929 b=9.1929 c=3.6780 alpha=90.00 beta=90.00 gamma=90.00
Fractional positions:
K: 0.5000 0.5000 0.0000
K: 0.0000 0.0000 0.0000
In: 0.6235 0.1235 0.0000
In: 0.8765 0.6235 0.0000
In: 0.1235 0.3765 0.0000
In: 0.3765 0.8765 0.0000
Y: 0.6693 0.8307 0.5000
Y: 0.1693 0.6693 0.5000
Y: 0.3307 0.1693 0.5000
Y: 0.8307 0.3307 0.5000

DFT (PBE) results for an optimized crystal structure of K2YIn2.

## Properties
The volume is 39.4 A^3/atom. Its space group is P4/mbm. As for the formation energy: 0.10 eV per atom. For the raw total energy, the calculation gives -2.723 eV/atom.

Unit cell a=8.0714 b=8.0714 c=6.0482 alpha=90.00 beta=90.00 gamma=90.00
Fractional positions:
In: 0.1301 0.3699 0.0000
In: 0.6301 0.1301 0.0000
In: 0.8699 0.6301 0.0000
In: 0.3699 0.8699 0.0000
Y: 0.5000 0.5000 0.0000
Y: 0.0000 0.0000 0.0000
K: 0.3266 0.1734 0.5000
K: 0.6734 0.8266 0.5000
K: 0.1734 0.6734 0.5000
K: 0.8266 0.3266 0.5000

DFT (PBE) results for an optimized crystal structure of KY4In.

## Properties
The volume is 34.5 A^3/atom. Its space group is F-43m. As for the formation energy: 0.37 eV per atom. For the raw total energy, the calculation gives -4.583 eV/atom.

Unit cell a=6.6409 b=6.6409 c=6.6409 alpha=60.00 beta=60.00 gamma=60.00
Fractional positions:
Y: 0.3768 0.3768 0.8696
Y: 0.3768 0.3768 0.3768
Y: 0.3768 0.8696 0.3768
Y: 0.8696 0.3768 0.3768
In: 0.7500 0.7500 0.7500
K: 0.0000 0.0000 0.0000

DFT (PBE) results for an optimized crystal structure of K2YIn.

## Properties
The volume is 39.4 A^3/atom. Its space group is Pmmm. As for the formation energy: 0.31 eV per atom. For the raw total energy, the calculation gives -2.537 eV/atom.

Unit cell a=3.6068 b=6.3744 c=6.8527 alpha=90.00 beta=90.00 gamma=90.00
Fractional positions:
K: 0.0000 0.0000 0.5124
K: 0.0000 0.0000 0.9876
In: 0.5000 0.5000 0.7500
Y: 0.5000 0.5000 0.2500

DFT (PBE) results for an optimized crystal structure of K4ZnIn4.

## Properties
The volume is 42.2 A^3/atom. Its space group is I-42m. As for the formation energy: 0.11 eV per atom. For the raw total energy, the calculation gives -1.738 eV/atom.

Unit cell a=7.1584 b=8.9778 c=7.1584 alpha=66.50 beta=90.00 gamma=113.50
Fractional positions:
K: 0.1928 0.7631 0.4297
K: 0.8072 0.2369 0.1928
K: 0.5703 0.7631 0.8072
K: 0.4297 0.2369 0.5703
In: 0.0273 0.7170 0.9727
In: 0.3103 0.2830 0.0273
In: 0.6898 0.7170 0.3102
In: 0.9727 0.2830 0.6897
Zn: 0.0000 0.0000 0.0000

DFT (PBE) results for an optimized crystal structure of KZnIn3.

## Properties
The volume is 32.0 A^3/atom. As for the energy above the most stable polymorph in this dataset: 191 meV/atom. Its space group is Pm-3m. As for the formation energy: 0.10 eV per atom. For the raw total energy, the calculation gives -2.015 eV/atom.

Unit cell a=5.4282 b=5.4282 c=5.4282 alpha=90.00 beta=90.00 gamma=90.00
Fractional positions:
In: 0.5000 0.0000 0.0000
In: 0.0000 0.5000 0.0000
In: 0.0000 0.0000 0.5000
K: 0.5000 0.5000 0.5000
Zn: 0.0000 0.0000 0.0000

DFT (PBE) results for an optimized crystal structure of K2Zn2In.

## Properties
The volume is 33.1 A^3/atom. As for the energy above the most stable polymorph in this dataset: 161 meV/atom. Its space group is P4/mbm. As for the formation energy: 0.24 eV per atom. For the raw total energy, the calculation gives -1.261 eV/atom.

Unit cell a=10.1161 b=10.1161 c=3.2311 alpha=90.00 beta=90.00 gamma=90.00
Fractional positions:
In: 0.5000 0.5000 0.0000
In: 0.0000 0.0000 0.0000
Zn: 0.9069 0.4069 0.5000
Zn: 0.0931 0.5931 0.5000
Zn: 0.4069 0.0931 0.5000
Zn: 0.5931 0.9069 0.5000
K: 0.3044 0.8044 0.0000
K: 0.8044 0.6956 0.0000
K: 0.6956 0.1956 0.0000
K: 0.1956 0.3044 0.0000

DFT (PBE) results for an optimized crystal structure of K2ZnIn.

## Properties
The volume is 37.8 A^3/atom. Its space group is Imm2. As for the formation energy: 0.01 eV per atom. For the raw total energy, the calculation gives -1.540 eV/atom.

Unit cell a=6.6792 b=6.6792 c=6.6792 alpha=140.75 beta=125.37 gamma=69.32
Fractional positions:
Zn: 0.4441 0.4441 0.0000
K: 0.0256 0.0256 0.0000
K: 0.7192 0.2192 0.5000
In: 0.3111 0.8111 0.5000

DFT (PBE) results for an optimized crystal structure of KZn4In12.

## Properties
The volume is 27.3 A^3/atom. Its space group is Im-3. As for the formation energy: 0.08 eV per atom. For the raw total energy, the calculation gives -2.220 eV/atom.

Unit cell a=8.4482 b=8.4482 c=8.4482 alpha=109.47 beta=109.47 gamma=109.47
Fractional positions:
In: 0.1594 0.6533 0.8127
In: 0.1594 0.3467 0.5062
In: 0.8406 0.6533 0.4938
In: 0.5062 0.1594 0.3467
In: 0.6533 0.8127 0.1594
In: 0.4938 0.8406 0.6533
In: 0.6533 0.4938 0.8406
In: 0.1873 0.8406 0.3467
In: 0.8406 0.3467 0.1873
In: 0.3467 0.1873 0.8406
In: 0.8127 0.1594 0.6533
In: 0.3467 0.5062 0.1594
Zn: 0.5000 0.5000 0.5000
Zn: 0.5000 0.0000 0.0000
Zn: 0.0000 0.5000 0.0000
Zn: 0.0000 0.0000 0.5000
K: 0.0000 0.0000 0.0000

DFT (PBE) results for an optimized crystal structure of K2ZnIn.

## Properties
The volume is 35.9 A^3/atom. Its space group is I4/mmm. As for the formation energy: 0.17 eV per atom. For the raw total energy, the calculation gives -1.385 eV/atom.

Unit cell a=6.5529 b=6.5529 c=6.5529 alpha=133.95 beta=133.94 gamma=67.17
Fractional positions:
K: 0.4999 0.4999 0.0000
K: 0.0001 0.0001 0.0000
Zn: 0.7500 0.2500 0.5000
In: 0.2500 0.7500 0.5000

DFT (PBE) results for an optimized crystal structure of KZnIn2.

## Properties
The volume is 28.3 A^3/atom. Its space group is R-3m. As for the formation energy: 0.08 eV per atom. For the raw total energy, the calculation gives -1.882 eV/atom.

Unit cell a=10.4384 b=10.4384 c=10.4384 alpha=19.70 beta=19.70 gamma=19.70
Fractional positions:
K: 0.2500 0.2500 0.2500
In: 0.0154 0.0154 0.0154
In: 0.4846 0.4846 0.4846
Zn: 0.7500 0.7500 0.7500